(1)
VASP calculation (PBE) on a relaxed structure of Sc2Si2Pb.

The structure in POSCAR format:
```
Sc2Si2Pb
1.0
8.0908 0.0000 0.0000
0.0000 8.0908 0.0000
0.0000 0.0000 3.2025
Si Sc Pb
4 4 2
direct
0.1513 0.3487 0.0000 Si
0.8487 0.6513 0.0000 Si
0.3487 0.8487 0.0000 Si
0.6513 0.1513 0.0000 Si
0.6436 0.8564 0.5000 Sc
0.3564 0.1436 0.5000 Sc
0.1436 0.6436 0.5000 Sc
0.8564 0.3564 0.5000 Sc
0.5000 0.5000 0.0000 Pb
0.0000 0.0000 0.0000 Pb
```

Output
energy relative to the elements, uncorrected = -0.33 eV per atom
M_tot = 0.00 μB per formula unit
uncorrected energy = -5.78 eV per atom
symmetry = No. 127

=====

(2)
VASP calculation (PBE) on a relaxed structure of ScSiPb3.

The structure in POSCAR format:
```
ScSiPb3
1.0
-4.8813 1.5914 -2.1342
2.0436 -0.6165 -5.1340
-1.7061 -5.2917 -0.0437
Sc Pb Si
1 3 1
direct
0.0000 0.0000 0.0000 Sc
0.5000 0.0000 0.0000 Pb
0.0000 0.0000 0.5000 Pb
0.0000 0.5000 0.0000 Pb
0.5000 0.5000 0.5000 Si
```

Output
energy relative to the elements, uncorrected = 0.75 eV per atom
M_tot = 0.00 μB per formula unit
uncorrected energy = -3.83 eV per atom
symmetry = No. 221

=====

(3)
VASP calculation (PBE) on a relaxed structure of ScSiPb.

The structure in POSCAR format:
```
ScSiPb
1.0
-3.8828 2.3004 -1.4692
-4.1875 -2.2321 -0.0946
-3.3848 1.1720 3.1139
Pb Sc Si
1 1 1
direct
0.5000 0.5000 0.5000 Pb
0.7500 0.7500 0.7500 Sc
0.0000 0.0000 0.0000 Si
```

Output
energy relative to the elements, uncorrected = 0.13 eV per atom
M_tot = 0.00 μB per formula unit
uncorrected energy = -5.03 eV per atom
symmetry = No. 216

=====

(4)
VASP calculation (PBE) on a relaxed structure of ScSiPb.

The structure in POSCAR format:
```
ScSiPb
1.0
-0.8679 5.8664 -0.2711
-2.2170 4.7452 2.7940
2.6646 1.5376 1.7342
Sc Si Pb
1 1 1
direct
0.3033 0.3033 0.6967 Sc
0.6911 0.6911 0.3089 Si
0.0056 0.0056 0.9944 Pb
```

Output
energy relative to the elements, uncorrected = -0.09 eV per atom
M_tot = 0.00 μB per formula unit
uncorrected energy = -5.24 eV per atom
symmetry = No. 107

=====

(5)
VASP calculation (PBE) on a relaxed structure of Sc2SiSnPb.

The structure in POSCAR format:
```
Sc2SiSnPb
1.0
5.1063 0.0000 0.0000
0.0000 5.0710 0.0000
0.0000 0.0000 5.1063
Pb Si Sc Sn
1 1 2 1
direct
0.5000 0.5000 0.5000 Pb
0.0000 0.0000 0.0000 Si
0.5000 0.0000 0.0000 Sc
0.0000 0.0000 0.5000 Sc
0.0000 0.5000 0.0000 Sn
```

Output
energy relative to the elements, uncorrected = -0.05 eV per atom
M_tot = 0.00 μB per formula unit
uncorrected energy = -5.21 eV per atom
symmetry = No. 123

=====

(6)
VASP calculation (PBE) on a relaxed structure of Sc6Si2Te3Pb.

The structure in POSCAR format:
```
Sc6Si2Te3Pb
1.0
4.0276 0.0000 0.0000
0.0000 8.2788 0.2688
-2.0138 -2.4127 8.6031
Si Sc Te Pb
2 6 3 1
direct
0.8314 0.6621 0.6627 Si
0.1686 0.3379 0.3373 Si
0.3244 0.4339 0.6489 Sc
0.9874 0.7425 0.9748 Sc
0.6701 0.1152 0.3402 Sc
0.3299 0.8848 0.6598 Sc
0.6756 0.5661 0.3511 Sc
0.0126 0.2575 0.0252 Sc
0.8375 0.1662 0.6749 Te
0.1625 0.8338 0.3251 Te
0.5000 0.5000 0.0000 Te
0.5000 0.0000 0.0000 Pb
```

Output
energy relative to the elements, uncorrected = -0.87 eV per atom
M_tot = 0.00 μB per formula unit
uncorrected energy = -6.04 eV per atom
symmetry = No. 12

=====

(7)
VASP calculation (PBE) on a relaxed structure of Sm5ScPb5.

The structure in POSCAR format:
```
Sm5ScPb5
1.0
6.1461 0.0000 0.0000
-3.0730 8.1985 0.5417
0.0000 -2.4312 6.8791
Pb Sm Sc
5 5 1
direct
0.8390 0.6781 0.6418 Pb
0.1628 0.3256 0.8961 Pb
0.1610 0.3219 0.3582 Pb
0.5000 0.0000 0.0000 Pb
0.8372 0.6744 0.1039 Pb
0.6541 0.3082 0.7791 Sm
0.3459 0.6918 0.2209 Sm
0.0000 0.0000 0.5000 Sm
0.6784 0.3568 0.2911 Sm
0.3216 0.6432 0.7089 Sm
0.0000 0.0000 0.0000 Sc
```

Output
M_tot = 0.00 μB per formula unit
uncorrected energy = -4.70 eV per atom
symmetry = No. 12

=====

(8)
VASP calculation (PBE) on a relaxed structure of Sm2ScPb2.

The structure in POSCAR format:
```
Sm2ScPb2
1.0
-4.1568 -1.9496 4.6226
-1.9420 -6.1796 -4.3526
7.6575 0.6979 2.5888
Pb Sm Sc
4 4 2
direct
0.8882 0.1295 0.7765 Pb
0.3882 0.6470 0.7765 Pb
0.1118 0.8705 0.2235 Pb
0.6118 0.3530 0.2235 Pb
0.3536 0.0176 0.7072 Sm
0.8536 0.6896 0.7072 Sm
0.1464 0.3104 0.2928 Sm
0.6464 0.9824 0.2928 Sm
0.7500 0.5000 0.0000 Sc
0.2500 0.5000 0.0000 Sc
```

Output
M_tot = 0.83 μB per formula unit
uncorrected energy = -4.98 eV per atom
symmetry = No. 72

=====

Q: The highest M_tot belongs to which entry?
A: Sm2ScPb2